[1]
# PaBr2F

A geometry-optimized PaBr2F structure (PBE-GGA, Alexandria via LeMat-Bulk).

Properties
V: 28.722 Å³ per atom
energy above the lowest structure with this stoichiometry: 6.0 meV per atom
total magnetization: 2.00 μB per formula unit
space-group type: Cm, No. 8
Fermi-level density of states: 3.404 states/eV/cell
VASP energy: -22.867 eV for the cell shown

Lattice parameters (Å, degrees): 4.1438 4.1438 8.0660 75.62 75.62 59.98
Element x y z (fractional)
Pa (0.4584, 0.4584, 0.6250)
Br (0.0410, 0.0410, 0.8858)
Br (0.2090, 0.2090, 0.3643)
F (0.7917, 0.7917, 0.6250)

[2]
# PaBr2F4

A geometry-optimized PaBr2F4 structure (PBE-GGA, Alexandria via LeMat-Bulk).

Properties
V: 22.924 Å³ per atom
total magnetization: 1.03 μB per formula unit
space-group type: I4/mmm, No. 139
Fermi-level density of states: 9.745 states/eV/cell
VASP energy: -37.650 eV for the cell shown

Lattice parameters (Å, degrees): 4.5595 4.5595 8.3654 105.81 105.81 90.00
Element x y z (fractional)
Pa (0.0000, 0.0000, 0.0000)
Br (0.6571, 0.6571, 0.3143)
Br (0.3429, 0.3429, 0.6857)
F (0.0000, 0.5000, 0.0000)
F (0.5000, 0.0000, 0.0000)
F (0.8717, 0.8717, 0.7434)
F (0.1283, 0.1283, 0.2566)

[3]
# PaBr2F

A geometry-optimized PaBr2F structure (PBE-GGA, Alexandria via LeMat-Bulk).

Properties
V: 33.552 Å³ per atom
energy above the lowest structure with this stoichiometry: 0.0 meV per atom
total magnetization: 2.01 μB per formula unit
space-group type: Immm, No. 71
Fermi-level density of states: 0.503 states/eV/cell
VASP energy: -22.891 eV for the cell shown

Lattice parameters (Å, degrees): 3.7970 4.6069 8.2310 106.22 103.33 90.00
Element x y z (fractional)
Pa (0.5000, 0.0091, 0.0000)
Br (0.1434, 0.1523, 0.2869)
Br (0.8566, 0.8654, 0.7131)
F (0.5000, 0.5092, 0.0000)

[4]
# PaBrF2

A geometry-optimized PaBrF2 structure (PBE-GGA, Alexandria via LeMat-Bulk).

Properties
V: 21.090 Å³ per atom
energy above the lowest structure with this stoichiometry: 15.5 meV per atom
total magnetization: 1.89 μB per formula unit
space-group type: P2/m, No. 10
Fermi-level density of states: 4.843 states/eV/cell
VASP energy: -25.114 eV for the cell shown

Lattice parameters (Å, degrees): 3.9630 5.8741 5.2836 136.70 90.00 90.00
Element x y z (fractional)
Pa (0.5000, 0.0000, 0.0000)
Br (0.5000, 0.5000, 0.0000)
F (0.0000, 0.8457, 0.6749)
F (0.0000, 0.1543, 0.3251)

[5]
# PaBr2F2

A geometry-optimized PaBr2F2 structure (PBE-GGA, Alexandria via LeMat-Bulk).

Properties
V: 23.678 Å³ per atom
energy above the lowest structure with this stoichiometry: 44.6 meV per atom
total magnetization: 1.00 μB per formula unit
space-group type: C2/c, No. 15
Fermi-level density of states: 10.083 states/eV/cell
VASP energy: -58.271 eV for the cell shown

Lattice parameters (Å, degrees): 5.9662 7.0756 6.3094 100.30 90.00 114.94
Element x y z (fractional)
Pa (0.7931, 0.0000, 0.7500)
Pa (0.2069, 0.0000, 0.2500)
Br (0.5525, 0.2636, 0.6281)
Br (0.2889, 0.7364, 0.8719)
Br (0.4475, 0.7364, 0.3719)
Br (0.7111, 0.2636, 0.1281)
F (0.8456, 0.8236, 0.0136)
F (0.0220, 0.1764, 0.4864)
F (0.1544, 0.1764, 0.9864)
F (0.9780, 0.8236, 0.5136)

[6]
# PaPbBr2F6

A geometry-optimized PaPbBr2F6 structure (PBE-GGA, Alexandria via LeMat-Bulk).

Properties
V: 20.959 Å³ per atom
total magnetization: 1.05 μB per formula unit
space-group type: R-3m, No. 166
Fermi-level density of states: 12.006 states/eV/cell
VASP energy: -53.559 eV for the cell shown

Lattice parameters (Å, degrees): 6.6703 6.6649 6.6645 60.01 60.02 90.00
Element x y z (fractional)
Pa (0.0000, 0.0000, 0.0000)
Pb (0.5000, 0.5000, 0.0000)
Br (0.2506, 0.7501, 0.4997)
Br (0.7494, 0.2499, 0.5003)
F (0.2255, 0.7741, 0.0002)
F (0.7746, 0.7744, 0.9997)
F (0.2255, 0.2256, 0.5486)
F (0.7745, 0.2259, 0.9998)
F (0.2254, 0.2256, 0.0003)
F (0.7745, 0.7744, 0.4514)